The following is a DFT calculation (PBE+U) of crystalline PuNiSbO6 at its relaxed geometry.

CIF file:
```
data_PuNiSbO6
_chemical_formula_sum 'Pu2 Ni2 Sb2 O12'
_cell_length_a 5.4174
_cell_length_b 5.4174
_cell_length_c 8.9399
_cell_angle_alpha 90.00
_cell_angle_beta 90.00
_cell_angle_gamma 120.00
_space_group_name_H-M_alt 'P -3 1 c'
_space_group_IT_number 163
_space_group_name_Hall '-P 3 2c'
loop_
_atom_site_label
_atom_site_type_symbol
_atom_site_fract_x
_atom_site_fract_y
_atom_site_fract_z
Pu1 Pu 0.3333 0.6667 0.2500
Ni1 Ni 0.0000 0.0000 0.0000
Sb1 Sb 0.3333 0.6667 0.7500
O1 O 0.0176 0.3488 0.6287
```

## Properties
**Spin magnetization**: 5.00 μB per formula unit
**DOS at the Fermi energy**: 0.87 states/eV/atom
**Raw total energy**: -7.3321 eV per atom